Here is an optimized crystal structure of RbBeW2F from Alexandria. Energies are from PBE+U.

Magnetization, μB/f.u.: 4.516
Crystal system: tetragonal
Symmetry: No. 123
E_tot, Ha/atom: -0.11905

Cell: 4.377 4.377 8.430 Å, 90.00 90.00 90.00°
Sites, in units of the cell vectors:
Rb1 0.000 0.000 0.000
Be1 0.500 0.500 0.500
W1 0.000 0.500 0.500
W2 0.500 0.000 0.500
F1 0.500 0.500 0.000